Tl2ZnAu: relaxed, PBE.

It has space group P4mm (No. 99), with a = 3.3419 Å, b = 3.3419 Å, c = 8.9770 Å, α = 90.00°, β = 90.00° and γ = 90.00°. The asymmetric unit holds Tl at (0.0000, 0.0000, 0.0000), Tl at (0.5000, 0.5000, 0.3534), Zn at (0.0000, 0.0000, 0.6080) and Au at (0.5000, 0.5000, 0.7455).

The value obtained for the formation enthalpy at 0 K is -13 meV/atom. The value obtained for the distance to the lowest polymorph of the same formula is 0.00 eV per formula unit. The density of states at the Fermi level is 1.214 states/eV/cell.